[1]
## Ba2Li16Nd (PBE-GGA)

Data for Ba2Li16Nd after structural relaxation.

a = 7.9542 Å, b = 7.9542 Å, c = 7.9542 Å
α = 83.15°, β = 83.15°, γ = 83.15°
With the nearest neighbours (Å) after each atom.
Atoms (fractional coordinates):
Li: 0.1001 0.1001 0.1001  1 Nd 3.09, 12 Li 3.10-3.41
Li: 0.8592 0.3389 0.3389  9 Li 2.94-3.27
Li: 0.2931 0.7130 0.0018  8 Li 2.93-3.27
Li: 0.2931 0.0018 0.7130  8 Li 2.93-3.27
Li: 0.0018 0.2931 0.7130  8 Li 2.93-3.27
Nd: 0.8983 0.8983 0.8983  13 Li 3.09-3.46
Li: 0.6542 0.1533 0.6542  8 Li 3.10-3.21, 1 Nd 3.27
Li: 0.0039 0.4866 0.0039  9 Li 2.93-3.10
Li: 0.3389 0.3389 0.8592  9 Li 2.94-3.27
Li: 0.0039 0.0039 0.4866  9 Li 2.93-3.10
Ba: 0.6481 0.6481 0.6481  18 Li 3.78-4.22, 1 Nd 3.83
Li: 0.3389 0.8592 0.3389  9 Li 2.94-3.27
Li: 0.0018 0.7130 0.2931  8 Li 2.93-3.27
Li: 0.7130 0.2931 0.0018  8 Li 2.93-3.27
Ba: 0.3444 0.3444 0.3444  19 Li 3.75-4.08
Li: 0.6542 0.6542 0.1533  8 Li 3.10-3.21, 1 Nd 3.27
Li: 0.4866 0.0039 0.0039  9 Li 2.93-3.10
Li: 0.1533 0.6542 0.6542  8 Li 3.10-3.21, 1 Nd 3.27
Li: 0.7130 0.0018 0.2931  8 Li 2.93-3.27

Output
The size of the total moment is 0.0 μB per formula unit. Its calculated density is 1.78 g/cm³. The value obtained for the electronic total energy is -2.02 eV per atom.

[2]
## Nd2PaCo3 (PBE-GGA)

Data for Nd2PaCo3 after structural relaxation.

a = 3.8702 Å, b = 6.2773 Å, c = 20.2535 Å
α = 90.00°, β = 90.00°, γ = 90.00°
With the nearest neighbours (Å) after each atom.
Atoms (fractional coordinates):
Co: 0.7500 0.3654 0.0120  3 Pa 2.56-2.68, 2 Co 2.62
Co: 0.7500 0.8654 0.4880  3 Pa 2.56-2.68, 2 Co 2.62
Pa: 0.7500 0.6176 0.9055  4 Co 2.32-2.56
Co: 0.2500 0.1734 0.3340  1 Pa 2.33
Co: 0.2500 0.5907 0.3350  1 Pa 2.32
Nd: 0.2500 0.1198 0.9273  7 Co 3.00-3.28
Nd: 0.7500 0.8802 0.0727  7 Co 3.00-3.28
Nd: 0.2500 0.6212 0.7645  8 Co 3.01-3.09, 2 Nd 3.19
Pa: 0.7500 0.1176 0.5945  4 Co 2.32-2.56
Co: 0.2500 0.6346 0.9880  3 Pa 2.56-2.68, 2 Co 2.62
Co: 0.7500 0.3266 0.8340  1 Pa 2.33
Pa: 0.2500 0.3824 0.0945  4 Co 2.32-2.56
Nd: 0.7500 0.3788 0.2355  8 Co 3.01-3.09, 2 Nd 3.19
Co: 0.7500 0.8266 0.6660  1 Pa 2.33
Co: 0.2500 0.1346 0.5120  3 Pa 2.56-2.68, 2 Co 2.62
Co: 0.2500 0.0907 0.1650  1 Pa 2.32
Nd: 0.7500 0.3802 0.4273  7 Co 3.00-3.28
Pa: 0.2500 0.8824 0.4055  4 Co 2.32-2.56
Co: 0.2500 0.6734 0.1660  1 Pa 2.33
Co: 0.7500 0.9093 0.8350  1 Pa 2.32
Co: 0.7500 0.4093 0.6650  1 Pa 2.32
Nd: 0.2500 0.1212 0.7355  8 Co 3.01-3.09, 2 Nd 3.19
Nd: 0.2500 0.6198 0.5727  7 Co 3.00-3.28
Nd: 0.7500 0.8788 0.2645  8 Co 3.01-3.09, 2 Nd 3.19

Output
The size of the total moment is 0.0 μB per formula unit. Its calculated density is 9.40 g/cm³. The value obtained for the electronic total energy is -6.88 eV per atom.

[3]
## K2TlTe (PBE-GGA)

Data for K2TlTe after structural relaxation.

a = 6.6677 Å, b = 6.6677 Å, c = 6.6677 Å
α = 134.47°, β = 134.47°, γ = 66.36°
With the nearest neighbours (Å) after each atom.
Atoms (fractional coordinates):
K: 0.2500 0.7500 0.5000  4 Tl 3.65, 4 Te 3.80, 4 K 3.80
Te: 0.5000 0.5000 0.0000  8 K 3.65-3.80, 4 Tl 3.80
Tl: 0.7500 0.2500 0.5000  8 K 3.65-3.80, 4 Te 3.80
K: 0.0000 0.0000 0.0000  4 Te 3.65, 4 K 3.80, 4 Tl 3.80

Output
The raw formation energy comes out at -0.4758 eV per atom. The size of the total moment is 0.0 μB per formula unit. Its calculated density is 4.58 g/cm³. The value obtained for the energy above the most stable polymorph in this dataset is 105 meV/atom.

[4]
## MnFePS2 (PBE-GGA)

Data for MnFePS2 after structural relaxation.

a = 4.3955 Å, b = 4.3955 Å, c = 4.1960 Å
α = 90.00°, β = 90.00°, γ = 90.00°
With the nearest neighbours (Å) after each atom.
Atoms (fractional coordinates):
S: 0.5000 0.0000 0.0000  2 Fe 2.20
Fe: 0.0000 0.0000 0.0000  2 P 2.10, 4 S 2.20
Mn: 0.5000 0.5000 0.5000  8 S 3.04, 4 P 3.11
P: 0.0000 0.0000 0.5000  2 Fe 2.10
S: 0.0000 0.5000 0.0000  2 Fe 2.20

Output
The raw formation energy comes out at 0.9456 eV per atom. The size of the total moment is 0.7 μB per formula unit. Its calculated density is 4.22 g/cm³. The value obtained for the energy above the most stable polymorph in this dataset is 321 meV/atom.

[5]
## Ni2HS (PBE-GGA)

Data for Ni2HS after structural relaxation.

a = 3.7252 Å, b = 3.7252 Å, c = 4.8453 Å
α = 67.39°, β = 67.39°, γ = 60.00°
With the nearest neighbours (Å) after each atom.
Atoms (fractional coordinates):
Ni: 0.1201 0.1201 0.6397  1 H 1.56
H: 0.0000 0.0000 0.0000  2 Ni 1.56
Ni: 0.8799 0.8799 0.3604  1 H 1.56
S: 0.5000 0.5000 0.5000  6 Ni 2.23

Output
The size of the total moment is 0.0 μB per formula unit. Its calculated density is 4.79 g/cm³. The value obtained for the energy above the most stable polymorph in this dataset is 78 meV/atom.

[6]
## PuCdGaSi (PBE-GGA)

Data for PuCdGaSi after structural relaxation.

a = 4.8632 Å, b = 4.8632 Å, c = 4.8632 Å
α = 60.00°, β = 60.00°, γ = 60.00°
With the nearest neighbours (Å) after each atom.
Atoms (fractional coordinates):
Ga: 0.2500 0.2500 0.2500  4 Cd 2.98, 4 Pu 2.98
Si: 0.7500 0.7500 0.7500  4 Pu 2.98, 4 Cd 2.98
Pu: 0.5000 0.5000 0.5000  4 Si 2.98, 4 Ga 2.98
Cd: 0.0000 0.0000 0.0000  4 Ga 2.98, 4 Si 2.98

Output
The raw formation energy comes out at -0.0923 eV per atom. The size of the total moment is 5.3 μB per formula unit. Its calculated density is 9.27 g/cm³.